[1]
SrNbSb2I, optimized geometry, DFT PBE; formation energy (no corrections) = 1.14 eV/atom; E above lowest polymorph = 1376 meV per atom; total DFT energy (no corrections) = -3.16 eV/atom; crystal system = tetragonal; D(E_F) = 1.88 states/eV/atom
1.0
5.990 0.000 0.000
0.000 5.990 0.000
0.000 0.000 5.997
I Sb Nb Sr
1 2 1 1
Cartesian
0.000 0.000 2.998
0.000 2.995 0.000
2.995 0.000 0.000
2.995 2.995 2.998
0.000 0.000 0.000

---

[2]
SrNbSb2I, optimized geometry, DFT PBE; formation energy (no corrections) = -0.23 eV/atom; E above lowest polymorph = 0 meV per atom; total DFT energy (no corrections) = -4.54 eV/atom; crystal system = tetragonal; D(E_F) = 0.80 states/eV/atom
1.0
5.383 0.000 0.000
0.000 5.383 0.000
0.000 0.000 5.880
I Sb Nb Sr
1 2 1 1
Cartesian
0.000 0.000 2.940
0.000 2.691 0.000
2.691 0.000 0.000
0.000 0.000 0.000
2.691 2.691 2.940

---

Please write out number 1 again, unchanged.
SrNbSb2I, optimized geometry, DFT PBE; formation energy (no corrections) = 1.14 eV/atom; E above lowest polymorph = 1376 meV per atom; total DFT energy (no corrections) = -3.16 eV/atom; crystal system = tetragonal; D(E_F) = 1.88 states/eV/atom
1.0
5.990 0.000 0.000
0.000 5.990 0.000
0.000 0.000 5.997
I Sb Nb Sr
1 2 1 1
Cartesian
0.000 0.000 2.998
0.000 2.995 0.000
2.995 0.000 0.000
2.995 2.995 2.998
0.000 0.000 0.000